No. 1
Entry from the Alexandria database: crystalline Fe3GeOs at its relaxed geometry (PBE).

Cell lengths 4.580, 4.580, 4.580 Å; angles 90.00, 90.00, 90.00 degrees
Fractional coordinates of all 5 atoms:
Fe 0.000 0.000 0.500
Fe 0.000 0.500 0.000
Fe 0.500 0.000 0.000
Ge 0.500 0.500 0.500
Os 0.000 0.000 0.000

## Properties
Electronic total energy   -6.82 eV per atom

=====

No. 2
Entry from the Alexandria database: crystalline Fe3GeOs at its relaxed geometry (PBE).

Cell lengths 4.166, 4.166, 4.166 Å; angles 90.00, 90.00, 90.00 degrees
Fractional coordinates of all 5 atoms:
Fe 0.000 0.000 0.500
Fe 0.000 0.500 0.000
Fe 0.500 0.000 0.000
Ge 0.000 0.000 0.000
Os 0.500 0.500 0.500

## Properties
Electronic total energy   -6.65 eV per atom

=====

No. 3
Entry from the Alexandria database: crystalline FeGeOs at its relaxed geometry (PBE).

Cell lengths 2.831, 2.831, 11.686 Å; angles 90.00, 90.00, 120.00 degrees
Fractional coordinates of all 6 atoms:
Fe 0.000 0.000 0.170
Fe 0.000 0.000 0.830
Ge 0.667 0.333 0.328
Ge 0.667 0.333 0.672
Os 0.000 0.000 0.500
Os 0.667 0.333 0.000

## Properties
Electronic total energy   -7.89 eV per atom

=====

No. 4
Entry from the Alexandria database: crystalline PaFeGe2Os at its relaxed geometry (PBE).

Cell lengths 5.716, 5.716, 5.716 Å; angles 137.22, 137.22, 62.09 degrees
Fractional coordinates of all 5 atoms:
Pa 0.000 0.000 0.000
Fe 0.750 0.250 0.500
Ge 0.373 0.373 0.000
Ge 0.627 0.627 0.000
Os 0.250 0.750 0.500

## Properties
Electronic total energy   -8.03 eV per atom